First-principles (PBE-GGA) data for an optimized crystal structure of Cr4InPt, as listed in Alexandria via LeMat-Bulk.

Output
* space group: F-43m (216)
* energy relative to the elements: 186 meV per atom
* total magnetic moment: 0.000 μB per atom

Cell and atoms, written as extended XYZ:
```
6
Lattice="-3.733 3.038 0.818 -1.148 3.402 -3.308 -4.105 -0.420 -2.609" Properties=species:S:1:pos:R:3 pbc="T T T"
Cr -3.388 2.269 -1.922
Cr -5.408 2.063 -3.206
Cr -5.225 3.764 -1.520
Cr -3.953 3.944 -3.550
In -6.740 4.515 -3.825
Pt 0.000 0.000 0.000
```